Entry from the Alexandria database: a relaxed structure of Ca6PdN2 (GGA-PBE).

Calculated values
Formation energy (no corrections)   -565 meV per atom

Cell: 7.0750 7.0750 8.9114 Å, 100.58 100.58 36.77°
Last column: nearest neighbours and their distance in Å.
Fractional positions:
Ca  0.0954  0.0954  0.2272  1 N 2.23
Ca  0.2014  0.2014  0.8855  3 N 2.40-2.42
Ca  0.3589  0.3589  0.3972  1 N 2.33
Ca  0.6411  0.6411  0.6028  1 N 2.33
Ca  0.7986  0.7986  0.1145  3 N 2.40-2.42
Ca  0.9046  0.9046  0.7728  1 N 2.23
Pd  0.0000  0.0000  0.5000  6 Ca 2.96
N  0.2475  0.2475  0.1621  5 Ca 2.23-2.42
N  0.7525  0.7525  0.8379  5 Ca 2.23-2.42

Entry from the Alexandria database: a relaxed structure of CaPd2N2 (GGA-PBE).

Calculated values
ΔE to the lowest computed polymorph   107 meV/atom
Formation energy (no corrections)   205 meV per atom

Cell: 6.6427 6.6427 3.7888 Å, 90.00 90.00 90.00°
Last column: nearest neighbours and their distance in Å.
Fractional positions:
Ca  0.0000  0.0000  0.0000  4 N 2.50
Ca  0.5000  0.5000  0.0000  4 N 2.50
Pd  0.1396  0.3604  0.5000  2 N 1.90
Pd  0.3604  0.8604  0.5000  2 N 1.90
Pd  0.6396  0.1396  0.5000  2 N 1.90
Pd  0.8604  0.6396  0.5000  2 N 1.90
N  0.1580  0.3420  0.0000  2 Pd 1.90
N  0.3420  0.8420  0.0000  2 Pd 1.90
N  0.6580  0.1580  0.0000  2 Pd 1.90
N  0.8420  0.6580  0.0000  2 Pd 1.90

| no. | total moment (μB per atom) | volume (Å³ per cell) | Fermi-level density of states (states/eV/cell) |
| --- | --- | --- | --- |
| 1 | 0.000 | 261.95 | 3.23 |
| 2 | 0.000 | 167.18 | 7.64 |